Entry 1:
# GdErGaCu (PBE, optimized geometry)
# * size of the total moment: 7.4 μB per formula unit
# * energy of formation: -414 meV/atom
# * electronic total energy: -6.8560 eV per atom
data_GdErGaCu
_cell_length_a 7.077
_cell_length_b 7.077
_cell_length_c 7.077
_cell_angle_alpha 90.00
_cell_angle_beta 90.00
_cell_angle_gamma 90.00
_symmetry_space_group_name_H-M 'F -4 3 m'
_symmetry_Int_Tables_number 216
_symmetry_space_group_name_Hall 'F -4 2 3'
loop_
_atom_site_label
_atom_site_type_symbol
_atom_site_fract_x
_atom_site_fract_y
_atom_site_fract_z
Gd1 Gd 0.000 0.000 0.000
Er1 Er 0.000 0.000 0.500
Ga1 Ga 0.250 0.250 0.250
Cu1 Cu 0.250 0.250 0.750

***

Entry 2:
# InTcOs3 (PBE, optimized geometry)
# * size of the total moment: 0.0 μB per formula unit
# * energy of formation: 1997 meV/atom
# * electronic total energy: -7.3615 eV per atom
# * offset from the most stable computed form: 0.0 kJ/mol of atoms
data_InTcOs3
_cell_length_a 4.689
_cell_length_b 4.689
_cell_length_c 4.689
_cell_angle_alpha 90.00
_cell_angle_beta 90.00
_cell_angle_gamma 90.00
_symmetry_space_group_name_H-M 'P m -3 m'
_symmetry_Int_Tables_number 221
_symmetry_space_group_name_Hall '-P 4 2 3'
loop_
_atom_site_label
_atom_site_type_symbol
_atom_site_fract_x
_atom_site_fract_y
_atom_site_fract_z
In1 In 0.000 0.000 0.000
Tc1 Tc 0.500 0.500 0.500
Os1 Os 0.000 0.500 0.500